This record from Alexandria describes an optimized crystal structure of SrMnCr2F8. The functional is PBE+U.

Results
- crystal system = tetragonal
- uncorrected energy (eV/atom) = -5.927

abc: 7.2590 7.2590 7.3149
angles: 90.00 90.00 90.00
Last column: nearest neighbours and their distance in Å.
Space group I-4m2 (No. 119)
Inequivalent atoms, fractional coordinates:
Sr (0.0000, 0.0000, 0.0000) x2  8 F 2.39-2.64
Mn (0.0000, 0.5000, 0.7500) x2  4 F 2.21
Cr (0.0000, 0.0000, 0.5000) x2  4 F 2.06
Cr (0.0000, 0.5000, 0.2500) x2  4 F 1.97
F (0.0000, 0.1999, 0.6992) x8  1 Cr 2.06, 1 Mn 2.21
F (0.0000, 0.3267, 0.0424) x8  1 Cr 1.97

=====

This record from Alexandria describes an optimized crystal structure of Cs2CrTe2O6. The functional is PBE+U.

Results
- crystal system = trigonal
- uncorrected energy (eV/atom) = -5.301

abc: 6.2550 6.2550 19.4862
angles: 90.00 90.00 120.00
Last column: nearest neighbours and their distance in Å.
Space group R-3m (No. 166, hexagonal axes)
Inequivalent atoms, fractional coordinates:
Cs (0.0000, 0.0000, 0.2075) x6  9 O 3.27-3.37
Cr (0.0000, 0.0000, 0.0000) x3  6 O 2.05
Te (0.0000, 0.0000, 0.4094) x6  3 O 1.98
O (0.0296, 0.5148, 0.7292) x18  1 Te 1.98, 1 Cr 2.05

=====

Q: uncorrected energy of number 1 (SrMnCr2F8)?
A: -5.927 eV/atom

=====

Q: uncorrected energy of number 2 (Cs2CrTe2O6)?
A: -5.301 eV/atom

=====

Q: Which value of uncorrected energy does entry 1 give?
A: -5.927 eV/atom